## CuTe3Br (PBE-GGA)

Data for CuTe3Br after structural relaxation. Values from VASP.

The structure in Quantum ESPRESSO input format:
```
&SYSTEM
  ibrav = 0, nat = 10, ntyp = 3
/
ATOMIC_SPECIES
Te 127.60 Te.upf
Cu 63.55 Cu.upf
Br 79.90 Br.upf
CELL_PARAMETERS angstrom
-3.484 -4.577 -2.920
0.644 -7.176 3.355
-7.735 0.183 1.817
ATOMIC_POSITIONS crystal
Te 0.419 0.717 0.783
Te 0.248 0.292 0.669
Te 0.708 0.831 0.208
Te 0.752 0.331 0.708
Te 0.292 0.792 0.169
Te 0.581 0.217 0.283
Cu 0.424 0.429 0.071
Cu 0.576 0.929 0.571
Br 0.947 0.889 0.611
Br 0.053 0.389 0.111
```

Calculated values
**M_tot**: 0.0 μB per formula unit
**Symmetry**: Ima2
**Formation energy without anion corrections**: -55 meV per atom
**Energy above the most stable polymorph in this dataset**: 0.000 kcal/mol of atoms

---

## La2MgCd2 (PBE-GGA)

Data for La2MgCd2 after structural relaxation. Values from VASP.

The structure in Quantum ESPRESSO input format:
```
&SYSTEM
  ibrav = 0, nat = 10, ntyp = 3
/
ATOMIC_SPECIES
Cd 112.41 Cd.upf
La 138.91 La.upf
Mg 24.30 Mg.upf
CELL_PARAMETERS angstrom
6.104 0.000 0.000
-3.052 5.626 0.139
0.000 -2.367 8.597
ATOMIC_POSITIONS crystal
Cd 0.280 0.260 0.494
Cd 0.720 0.740 0.506
Cd 0.020 0.740 0.006
Cd 0.980 0.260 0.994
La 0.505 0.699 0.851
La 0.194 0.699 0.351
La 0.495 0.301 0.149
La 0.806 0.301 0.649
Mg 0.833 0.000 0.250
Mg 0.167 0.000 0.750
```

Calculated values
**M_tot**: 0.0 μB per formula unit
**Symmetry**: C2/c
**Calculated formation energy**: -0.2225 eV per atom
**Energy above the most stable polymorph in this dataset**: 0.533 kcal/mol of atoms

---

## Pm5PrBi6 (PBE-GGA)

Data for Pm5PrBi6 after structural relaxation. Values from VASP.

The structure in Quantum ESPRESSO input format:
```
&SYSTEM
  ibrav = 0, nat = 12, ntyp = 3
/
ATOMIC_SPECIES
Bi 208.98 Bi.upf
Pm 145.00 Pm.upf
Pr 140.91 Pr.upf
CELL_PARAMETERS angstrom
7.858 0.192 1.194
1.931 6.662 3.884
0.132 0.070 7.949
ATOMIC_POSITIONS crystal
Bi 0.748 0.419 0.665
Bi 0.252 0.916 0.665
Bi 0.252 0.581 0.335
Bi 0.748 0.084 0.335
Bi 0.251 0.252 0.000
Bi 0.749 0.748 0.000
Pm 0.000 0.667 0.666
Pm 0.500 0.834 0.331
Pm 0.500 0.500 0.000
Pm 0.000 0.333 0.334
Pm 0.500 0.166 0.669
Pr 0.000 0.000 0.000
```

Calculated values
**M_tot**: 0.0 μB per formula unit
**Symmetry**: C2/m
**Calculated formation energy**: -0.9439 eV per atom

---

## SrAc4Lu (PBE-GGA)

Data for SrAc4Lu after structural relaxation. Values from VASP.

The structure in Quantum ESPRESSO input format:
```
&SYSTEM
  ibrav = 0, nat = 6, ntyp = 3
/
ATOMIC_SPECIES
Lu 174.97 Lu.upf
Ac 227.00 Ac.upf
Sr 87.62 Sr.upf
CELL_PARAMETERS angstrom
-2.919 6.698 0.436
-5.730 1.775 -4.194
-6.601 0.926 3.024
ATOMIC_POSITIONS crystal
Lu 0.000 0.000 0.000
Ac 0.627 0.627 0.119
Ac 0.119 0.627 0.627
Ac 0.627 0.119 0.627
Ac 0.627 0.627 0.627
Sr 0.250 0.250 0.250
```

Calculated values
**M_tot**: 0.0 μB per formula unit
**Symmetry**: F-43m
**Calculated formation energy**: 0.3121 eV per atom

---

## PaAsRu3 (PBE-GGA)

Data for PaAsRu3 after structural relaxation. Values from VASP.

The structure in Quantum ESPRESSO input format:
```
&SYSTEM
  ibrav = 0, nat = 10, ntyp = 3
/
ATOMIC_SPECIES
As 74.92 As.upf
Ru 101.07 Ru.upf
Pa 231.04 Pa.upf
CELL_PARAMETERS angstrom
-4.897 -0.009 0.750
0.750 -0.011 4.897
2.061 8.489 -2.803
ATOMIC_POSITIONS crystal
As 0.250 0.750 0.500
As 0.000 0.000 0.000
Ru 0.621 0.877 0.754
Ru 0.123 0.867 0.246
Ru 0.272 0.272 0.545
Ru 0.728 0.728 0.455
Ru 0.133 0.877 0.754
Ru 0.123 0.379 0.246
Pa 0.863 0.363 0.726
Pa 0.637 0.137 0.274
```

Calculated values
**M_tot**: 0.0 μB per formula unit
**Symmetry**: I-4m2
**Calculated formation energy**: 0.1015 eV per atom

---

## Sc2Co5NiB2 (PBE-GGA)

Data for Sc2Co5NiB2 after structural relaxation. Values from VASP.

The structure in Quantum ESPRESSO input format:
```
&SYSTEM
  ibrav = 0, nat = 20, ntyp = 4
/
ATOMIC_SPECIES
Ni 58.69 Ni.upf
Co 58.93 Co.upf
B 10.81 B.upf
Sc 44.96 Sc.upf
CELL_PARAMETERS angstrom
-1.896 -0.883 -2.118
2.990 -8.083 0.694
-5.957 -1.686 6.036
ATOMIC_POSITIONS crystal
Ni 0.000 0.500 0.500
Ni 0.000 0.000 0.000
Co 0.500 0.431 0.280
Co 0.500 0.220 0.069
Co 0.500 0.720 0.431
Co 0.500 0.569 0.720
Co 0.500 0.280 0.569
Co 0.500 0.931 0.220
Co 0.500 0.000 0.500
Co 0.500 0.780 0.931
Co 0.500 0.500 0.000
Co 0.500 0.069 0.780
B 0.000 0.879 0.379
B 0.000 0.379 0.121
B 0.000 0.121 0.621
B 0.000 0.621 0.879
Sc 0.000 0.324 0.824
Sc 0.000 0.676 0.176
Sc 0.000 0.824 0.676
Sc 0.000 0.176 0.324
```

Calculated values
**M_tot**: 2.7 μB per formula unit
**Symmetry**: P4/mbm
**Calculated formation energy**: -0.3983 eV per atom

---

## RbIn3Pb2 (PBE-GGA)

Data for RbIn3Pb2 after structural relaxation. Values from VASP.

The structure in Quantum ESPRESSO input format:
```
&SYSTEM
  ibrav = 0, nat = 12, ntyp = 3
/
ATOMIC_SPECIES
In 114.82 In.upf
Pb 207.20 Pb.upf
Rb 85.47 Rb.upf
CELL_PARAMETERS angstrom
-6.089 2.881 0.453
-3.202 -7.101 2.109
1.670 2.345 7.539
ATOMIC_POSITIONS crystal
In 0.750 0.092 0.445
In 0.250 0.555 0.908
In 0.750 0.445 0.092
In 0.250 0.935 0.935
In 0.750 0.065 0.065
In 0.250 0.908 0.555
Pb 0.000 0.226 0.774
Pb 0.000 0.774 0.226
Pb 0.500 0.226 0.774
Pb 0.500 0.774 0.226
Rb 0.250 0.307 0.307
Rb 0.750 0.693 0.693
```

Calculated values
**M_tot**: 0.0 μB per formula unit
**Symmetry**: Cmcm
**Calculated formation energy**: -0.0264 eV per atom
**Energy above the most stable polymorph in this dataset**: 0.537 kcal/mol of atoms

---

## KLiF3 (PBE-GGA)

Data for KLiF3 after structural relaxation. Values from VASP.

The structure in Quantum ESPRESSO input format:
```
&SYSTEM
  ibrav = 0, nat = 20, ntyp = 3
/
ATOMIC_SPECIES
Li 6.94 Li.upf
K 39.10 K.upf
F 19.00 F.upf
CELL_PARAMETERS angstrom
4.670 -5.123 3.010
2.830 1.074 6.925
-2.329 -4.322 5.746
ATOMIC_POSITIONS crystal
Li 0.125 0.625 0.125
Li 0.125 0.125 0.125
Li 0.125 0.125 0.625
Li 0.625 0.125 0.125
K 0.625 0.125 0.625
K 0.625 0.625 0.125
K 0.625 0.625 0.625
K 0.125 0.625 0.625
F 0.792 0.208 0.208
F 0.208 0.792 0.208
F 0.792 0.208 0.792
F 0.042 0.458 0.042
F 0.042 0.458 0.458
F 0.792 0.792 0.208
F 0.208 0.792 0.792
F 0.458 0.042 0.042
F 0.458 0.458 0.042
F 0.042 0.042 0.458
F 0.208 0.208 0.792
F 0.458 0.042 0.458
```

Calculated values
**M_tot**: 1.0 μB per formula unit
**Symmetry**: Fd-3m
**Formation energy without anion corrections**: -2127 meV per atom
**Energy above the most stable polymorph in this dataset**: 4.074 kcal/mol of atoms

---

## Mn2AlTe2 (PBE-GGA)

Data for Mn2AlTe2 after structural relaxation. Values from VASP.

The structure in Quantum ESPRESSO input format:
```
&SYSTEM
  ibrav = 0, nat = 5, ntyp = 3
/
ATOMIC_SPECIES
Te 127.60 Te.upf
Al 26.98 Al.upf
Mn 54.94 Mn.upf
CELL_PARAMETERS angstrom
-0.721 -3.078 1.940
3.483 -0.012 1.275
-0.805 2.758 7.621
ATOMIC_POSITIONS crystal
Te 0.629 0.629 0.741
Te 0.371 0.371 0.259
Al 0.000 0.000 0.000
Mn 0.750 0.250 0.500
Mn 0.250 0.750 0.500
```

Calculated values
**M_tot**: 4.5 μB per formula unit
**Symmetry**: I4/mmm
**Formation energy without anion corrections**: 187 meV per atom
**Energy above the most stable polymorph in this dataset**: 0.000 kcal/mol of atoms

---

## La3YEr2 (PBE-GGA)

Data for La3YEr2 after structural relaxation. Values from VASP.

The structure in Quantum ESPRESSO input format:
```
&SYSTEM
  ibrav = 0, nat = 6, ntyp = 3
/
ATOMIC_SPECIES
La 138.91 La.upf
Er 167.26 Er.upf
Y 88.91 Y.upf
CELL_PARAMETERS angstrom
-0.816 -2.076 2.674
1.620 -4.800 -3.234
8.823 4.237 3.714
ATOMIC_POSITIONS crystal
La 0.812 0.812 0.625
La 0.188 0.188 0.375
La 0.000 0.500 0.000
Er 0.363 0.363 0.726
Er 0.637 0.637 0.274
Y 0.000 0.000 0.000
```

Calculated values
**M_tot**: 0.0 μB per formula unit
**Symmetry**: Immm
**Calculated formation energy**: 0.3237 eV per atom
**Energy above the most stable polymorph in this dataset**: 4.831 kcal/mol of atoms

---

## CePmSnAu (PBE-GGA)

Data for CePmSnAu after structural relaxation. Values from VASP.

The structure in Quantum ESPRESSO input format:
```
&SYSTEM
  ibrav = 0, nat = 4, ntyp = 4
/
ATOMIC_SPECIES
Pm 145.00 Pm.upf
Ce 140.12 Ce.upf
Au 196.97 Au.upf
Sn 118.71 Sn.upf
CELL_PARAMETERS angstrom
5.367 0.000 0.000
2.684 4.648 0.000
2.684 1.549 4.382
ATOMIC_POSITIONS crystal
Pm 0.000 0.000 0.000
Ce 0.500 0.500 0.500
Au 0.750 0.750 0.750
Sn 0.250 0.250 0.250
```

Calculated values
**M_tot**: 2.0 μB per formula unit
**Symmetry**: F-43m
**Calculated formation energy**: -0.6307 eV per atom

---

## TlRu4Pb (PBE-GGA)

Data for TlRu4Pb after structural relaxation. Values from VASP.

The structure in Quantum ESPRESSO input format:
```
&SYSTEM
  ibrav = 0, nat = 6, ntyp = 3
/
ATOMIC_SPECIES
Ru 101.07 Ru.upf
Tl 204.38 Tl.upf
Pb 207.20 Pb.upf
CELL_PARAMETERS angstrom
-3.260 -3.242 2.728
-3.969 -2.541 -2.524
0.256 -5.288 -0.741
ATOMIC_POSITIONS crystal
Ru 0.375 0.375 0.375
Ru 0.375 0.875 0.375
Ru 0.375 0.375 0.875
Ru 0.875 0.375 0.375
Tl 0.750 0.750 0.750
Pb 0.000 0.000 0.000
```

Calculated values
**M_tot**: 3.5 μB per formula unit
**Symmetry**: F-43m
**Calculated formation energy**: 0.6748 eV per atom

---

## SnIrNO2 (PBE-GGA)

Data for SnIrNO2 after structural relaxation. Values from VASP.

The structure in Quantum ESPRESSO input format:
```
&SYSTEM
  ibrav = 0, nat = 5, ntyp = 4
/
ATOMIC_SPECIES
O 16.00 O.upf
Ir 192.22 Ir.upf
N 14.01 N.upf
Sn 118.71 Sn.upf
CELL_PARAMETERS angstrom
4.181 0.000 0.000
0.000 4.181 0.000
0.000 0.000 3.723
ATOMIC_POSITIONS crystal
O 0.000 0.500 0.000
O 0.500 0.000 0.000
Ir 0.000 0.000 0.000
N 0.000 0.000 0.500
Sn 0.500 0.500 0.500
```

Calculated values
**M_tot**: 0.0 μB per formula unit
**Symmetry**: P4/mmm
**Formation energy without anion corrections**: -90 meV per atom

---

## KCd2CuPb (PBE-GGA)

Data for KCd2CuPb after structural relaxation. Values from VASP.

The structure in Quantum ESPRESSO input format:
```
&SYSTEM
  ibrav = 0, nat = 5, ntyp = 4
/
ATOMIC_SPECIES
Cu 63.55 Cu.upf
Cd 112.41 Cd.upf
K 39.10 K.upf
Pb 207.20 Pb.upf
CELL_PARAMETERS angstrom
-2.563 4.179 1.841
1.356 -1.319 4.883
4.380 2.879 -0.438
ATOMIC_POSITIONS crystal
Cu 0.000 0.000 0.000
Cd 0.500 0.000 0.000
Cd 0.000 0.500 0.000
K 0.500 0.500 0.500
Pb 0.000 0.000 0.500
```

Calculated values
**M_tot**: 0.0 μB per formula unit
**Symmetry**: P4/mmm
**Calculated formation energy**: 0.0559 eV per atom

---

## Hf3BiF (PBE-GGA)

Data for Hf3BiF after structural relaxation. Values from VASP.

The structure in Quantum ESPRESSO input format:
```
&SYSTEM
  ibrav = 0, nat = 5, ntyp = 3
/
ATOMIC_SPECIES
Hf 178.49 Hf.upf
Bi 208.98 Bi.upf
F 19.00 F.upf
CELL_PARAMETERS angstrom
5.454 0.000 0.000
0.000 5.454 0.000
0.000 0.000 5.454
ATOMIC_POSITIONS crystal
Hf 0.500 0.000 0.000
Hf 0.000 0.500 0.000
Hf 0.000 0.000 0.500
Bi 0.000 0.000 0.000
F 0.500 0.500 0.500
```

Calculated values
**M_tot**: 3.5 μB per formula unit
**Symmetry**: Pm-3m
**Formation energy without anion corrections**: 1422 meV per atom
**Energy above the most stable polymorph in this dataset**: 40.574 kcal/mol of atoms

---

## LiErAg4 (PBE-GGA)

Data for LiErAg4 after structural relaxation. Values from VASP.

The structure in Quantum ESPRESSO input format:
```
&SYSTEM
  ibrav = 0, nat = 6, ntyp = 3
/
ATOMIC_SPECIES
Ag 107.87 Ag.upf
Li 6.94 Li.upf
Er 167.26 Er.upf
CELL_PARAMETERS angstrom
5.096 0.358 0.286
0.545 4.450 2.547
0.210 -0.001 5.176
ATOMIC_POSITIONS crystal
Ag 0.501 0.327 0.844
Ag 0.001 0.166 0.167
Ag 0.501 0.676 0.147
Ag 0.001 0.837 0.824
Li 0.501 0.002 0.496
Er 0.001 0.502 0.495
```

Calculated values
**M_tot**: 0.0 μB per formula unit
**Symmetry**: C2/m
**Calculated formation energy**: -0.1751 eV per atom
**Energy above the most stable polymorph in this dataset**: 0.000 kcal/mol of atoms